Entry one
Computed, not measured: a geometry-optimized Pa2GaSe structure at the PBE-GGA level of DFT.

```
4
Lattice="3.398 0.000 0.000 0.000 3.398 0.000 0.000 0.000 7.610" Properties=species:S:1:pos:R:3 pbc="T T T"
Pa 0.000 0.000 1.859
Pa 0.000 0.000 5.751
Ga 1.699 1.699 3.805
Se 1.699 1.699 0.000
```

## Properties
Spin magnetization   0.026 Bohr magnetons per cell

***

Entry two
Computed, not measured: a geometry-optimized Pa2GaSe structure at the PBE-GGA level of DFT.

```
12
Lattice="4.194 0.000 0.000 -2.097 3.632 0.000 0.000 0.000 19.453" Properties=species:S:1:pos:R:3 pbc="T T T"
Pa 0.000 0.000 4.853
Pa 0.000 0.000 14.600
Pa 0.000 2.421 8.116
Pa 0.000 2.421 17.822
Pa 2.097 1.211 1.631
Pa 2.097 1.211 11.337
Ga 0.000 0.000 9.727
Ga 0.000 2.421 3.242
Ga 2.097 1.211 16.211
Se 0.000 0.000 0.000
Se 0.000 2.421 12.969
Se 2.097 1.211 6.484
```

## Properties
Spin magnetization   0.001 Bohr magnetons per cell

***

Of them, entry one has the lowest stability.

***

Entry one
Computed, not measured: a geometry-optimized PaGa2Si structure at the PBE-GGA level of DFT.

```
12
Lattice="4.346 0.000 0.000 -2.173 3.764 0.000 0.000 0.000 14.302" Properties=species:S:1:pos:R:3 pbc="T T T"
Pa 0.000 0.000 0.000
Pa 0.000 2.509 9.534
Pa 2.173 1.255 4.767
Ga 0.000 0.000 3.131
Ga 0.000 0.000 11.171
Ga 0.000 2.509 6.403
Ga 0.000 2.509 12.665
Ga 2.173 1.255 1.636
Ga 2.173 1.255 7.898
Si 0.000 0.000 7.151
Si 0.000 2.509 2.384
Si 2.173 1.255 11.918
```

## Properties
Spin magnetization   0.983 Bohr magnetons per cell

***

Entry two
Computed, not measured: a geometry-optimized PaGa2Si structure at the PBE-GGA level of DFT.

```
4
Lattice="4.157 0.000 0.000 0.000 4.157 0.000 0.000 0.000 4.418" Properties=species:S:1:pos:R:3 pbc="T T T"
Pa 0.000 0.000 0.000
Ga 0.000 2.078 2.209
Ga 2.078 0.000 2.209
Si 2.078 2.078 0.000
```

## Properties
Spin magnetization   0.000 Bohr magnetons per cell

***

Of them, entry one has the lowest stability.

***

Entry one
Computed, not measured: a geometry-optimized PaGaSi2 structure at the PBE-GGA level of DFT.

```
4
Lattice="4.249 0.000 0.000 0.000 4.249 0.000 0.000 0.000 4.040" Properties=species:S:1:pos:R:3 pbc="T T T"
Pa 0.000 0.000 0.000
Ga 2.125 2.125 0.000
Si 0.000 2.125 2.020
Si 2.125 0.000 2.020
```

## Properties
Spin magnetization   0.000 Bohr magnetons per cell

***

Entry two
Computed, not measured: a geometry-optimized PaGaSi2 structure at the PBE-GGA level of DFT.

```
12
Lattice="4.328 0.000 0.000 -2.164 3.748 0.000 0.000 0.000 13.826" Properties=species:S:1:pos:R:3 pbc="T T T"
Pa 0.000 0.000 0.000
Pa 0.000 2.499 9.217
Pa 2.164 1.249 4.609
Ga 0.000 0.000 6.913
Ga 0.000 2.499 2.304
Ga 2.164 1.249 11.522
Si 0.000 0.000 2.995
Si 0.000 0.000 10.831
Si 0.000 2.499 6.222
Si 0.000 2.499 12.212
Si 2.164 1.249 1.614
Si 2.164 1.249 7.604
```

## Properties
Spin magnetization   0.000 Bohr magnetons per cell

***

Of them, entry two has the lowest stability.

***

Entry one
Computed, not measured: a geometry-optimized SmPaGa4 structure at the PBE-GGA level of DFT.

```
6
Lattice="0.000 3.927 3.927 3.927 0.000 3.927 3.927 3.927 0.000" Properties=species:S:1:pos:R:3 pbc="T T T"
Sm 0.000 0.000 0.000
Pa 5.891 5.891 5.891
Ga 2.951 2.951 2.951
Ga 4.903 4.903 2.951
Ga 4.903 2.951 4.903
Ga 2.951 4.903 4.903
```

## Properties
Spin magnetization   0.264 Bohr magnetons per cell

***

Entry two
Computed, not measured: a geometry-optimized SmPaGa4 structure at the PBE-GGA level of DFT.

```
12
Lattice="4.177 0.000 0.000 0.000 4.177 0.000 0.000 0.000 14.646" Properties=species:S:1:pos:R:3 pbc="T T T"
Sm 0.000 0.000 0.000
Sm 2.088 2.088 7.323
Pa 0.000 2.088 10.984
Pa 2.088 0.000 3.661
Ga 0.000 0.000 6.093
Ga 0.000 0.000 8.553
Ga 0.000 2.088 2.463
Ga 0.000 2.088 4.860
Ga 2.088 0.000 9.786
Ga 2.088 0.000 12.183
Ga 2.088 2.088 1.230
Ga 2.088 2.088 13.416
```

## Properties
Spin magnetization   0.001 Bohr magnetons per cell

***

Of them, entry one has the lowest stability.

***

Entry one
Computed, not measured: a geometry-optimized SmPa2Ga structure at the PBE-GGA level of DFT.

```
16
Lattice="7.348 0.000 0.000 0.000 7.348 0.000 0.000 0.000 7.348" Properties=species:S:1:pos:R:3 pbc="T T T"
Sm 0.000 0.000 0.000
Sm 0.000 3.674 3.674
Sm 3.674 0.000 3.674
Sm 3.674 3.674 0.000
Pa 1.837 1.837 1.837
Pa 1.837 1.837 5.511
Pa 1.837 5.511 1.837
Pa 1.837 5.511 5.511
Pa 5.511 1.837 1.837
Pa 5.511 1.837 5.511
Pa 5.511 5.511 1.837
Pa 5.511 5.511 5.511
Ga 0.000 0.000 3.674
Ga 0.000 3.674 0.000
Ga 3.674 0.000 0.000
Ga 3.674 3.674 3.674
```

## Properties
Spin magnetization   0.000 Bohr magnetons per cell

***

Entry two
Computed, not measured: a geometry-optimized SmPa2Ga structure at the PBE-GGA level of DFT.

```
4
Lattice="4.386 0.000 0.000 0.000 4.386 0.000 0.000 0.000 5.056" Properties=species:S:1:pos:R:3 pbc="T T T"
Sm 0.000 0.000 0.000
Pa 0.000 2.193 2.528
Pa 2.193 0.000 2.528
Ga 2.193 2.193 0.000
```

## Properties
Spin magnetization   0.000 Bohr magnetons per cell

***

Of them, entry one has the lowest stability.

***

Entry one
Computed, not measured: a geometry-optimized Sm2PaGa structure at the PBE-GGA level of DFT.

```
16
Lattice="7.486 0.000 0.000 0.000 7.486 0.000 0.000 0.000 7.486" Properties=species:S:1:pos:R:3 pbc="T T T"
Sm 1.872 1.872 1.872
Sm 1.872 1.872 5.615
Sm 1.872 5.615 1.872
Sm 1.872 5.615 5.615
Sm 5.615 1.872 1.872
Sm 5.615 1.872 5.615
Sm 5.615 5.615 1.872
Sm 5.615 5.615 5.615
Pa 0.000 0.000 0.000
Pa 0.000 3.743 3.743
Pa 3.743 0.000 3.743
Pa 3.743 3.743 0.000
Ga 0.000 0.000 3.743
Ga 0.000 3.743 0.000
Ga 3.743 0.000 0.000
Ga 3.743 3.743 3.743
```

## Properties
Spin magnetization   0.004 Bohr magnetons per cell

***

Entry two
Computed, not measured: a geometry-optimized Sm2PaGa structure at the PBE-GGA level of DFT.

```
4
Lattice="3.477 0.000 0.000 0.000 3.477 0.000 0.000 0.000 8.838" Properties=species:S:1:pos:R:3 pbc="T T T"
Sm 0.000 0.000 1.969
Sm 0.000 0.000 6.869
Pa 1.738 1.738 4.419
Ga 1.738 1.738 0.000
```

## Properties
Spin magnetization   0.408 Bohr magnetons per cell

***

Of them, entry one has the lowest stability.

***

Entry one
Computed, not measured: a geometry-optimized PaGaSn structure at the PBE-GGA level of DFT.

```
6
Lattice="3.431 0.000 0.000 0.000 3.431 0.000 0.000 0.000 11.777" Properties=species:S:1:pos:R:3 pbc="T T T"
Pa 0.000 0.000 0.000
Pa 1.715 1.715 5.889
Ga 0.000 0.000 3.983
Ga 1.715 1.715 9.872
Sn 0.000 0.000 8.147
Sn 1.715 1.715 2.258
```

## Properties
Spin magnetization   0.869 Bohr magnetons per cell

***

Entry two
Computed, not measured: a geometry-optimized PaGaSn structure at the PBE-GGA level of DFT.

```
12
Lattice="9.919 0.000 0.000 0.000 4.459 0.000 -0.006 0.000 6.251" Properties=species:S:1:pos:R:3 pbc="T T T"
Pa 0.000 0.000 0.000
Pa -0.003 0.000 3.125
Pa 4.959 2.229 0.000
Pa 4.957 2.229 3.125
Ga 1.499 2.229 1.564
Ga 3.454 0.000 4.686
Ga 6.459 0.000 1.564
Ga 8.414 2.229 4.686
Sn 1.782 2.229 4.690
Sn 3.172 0.000 1.561
Sn 6.742 0.000 4.690
Sn 8.131 2.229 1.561
```

## Properties
Spin magnetization   2.928 Bohr magnetons per cell

***

Of them, entry one has the lowest stability.

***

Entry one
Computed, not measured: a geometry-optimized PaGaSn structure at the PBE-GGA level of DFT.

```
6
Lattice="2.111 1.219 9.704 -2.111 1.219 9.704 0.000 -2.437 9.704" Properties=species:S:1:pos:R:3 pbc="T T T"
Pa 0.000 0.000 5.539
Pa 0.000 0.000 23.574
Ga 0.000 0.000 2.428
Ga 0.000 0.000 26.685
Sn 0.000 0.000 10.841
Sn 0.000 0.000 18.272
```

## Properties
Spin magnetization   0.000 Bohr magnetons per cell

***

Entry two
Computed, not measured: a geometry-optimized PaGaSn structure at the PBE-GGA level of DFT.

```
12
Lattice="5.851 0.000 0.000 0.000 10.512 0.000 0.000 0.000 5.271" Properties=species:S:1:pos:R:3 pbc="T T T"
Pa 1.463 2.628 1.318
Pa 1.463 7.884 3.953
Pa 4.389 2.628 1.318
Pa 4.389 7.884 3.953
Ga 0.000 2.628 3.912
Ga 0.000 7.884 1.359
Ga 2.926 2.628 3.995
Ga 2.926 7.884 1.276
Sn 0.000 0.000 0.000
Sn 0.000 5.256 0.000
Sn 2.926 0.000 2.635
Sn 2.926 5.256 2.635
```

## Properties
Spin magnetization   3.252 Bohr magnetons per cell

***

Of them, entry one has the lowest stability.

***

Entry one
Computed, not measured: a geometry-optimized PaGaSn2 structure at the PBE-GGA level of DFT.

```
4
Lattice="3.871 0.000 0.000 0.000 3.871 0.000 0.000 0.000 6.425" Properties=species:S:1:pos:R:3 pbc="T T T"
Pa 0.000 0.000 0.000
Ga 0.000 0.000 3.213
Sn 1.935 1.935 1.740
Sn 1.935 1.935 4.685
```

## Properties
Spin magnetization   0.000 Bohr magnetons per cell

***

Entry two
Computed, not measured: a geometry-optimized PaGaSn2 structure at the PBE-GGA level of DFT.

```
4
Lattice="4.524 0.000 0.000 0.000 4.524 0.000 0.000 0.000 4.572" Properties=species:S:1:pos:R:3 pbc="T T T"
Pa 0.000 0.000 0.000
Ga 2.262 2.262 0.000
Sn 0.000 2.262 2.286
Sn 2.262 0.000 2.286
```

## Properties
Spin magnetization   0.000 Bohr magnetons per cell

***

Entry three
Computed, not measured: a geometry-optimized PaGaSn2 structure at the PBE-GGA level of DFT.

```
12
Lattice="4.863 0.000 0.000 -2.432 4.212 0.000 0.000 0.000 14.589" Properties=species:S:1:pos:R:3 pbc="T T T"
Pa 0.000 0.000 0.000
Pa 0.000 2.808 9.726
Pa 2.432 1.404 4.863
Ga 0.000 0.000 7.294
Ga 0.000 2.808 2.431
Ga 2.432 1.404 12.157
Sn 0.000 0.000 3.356
Sn 0.000 0.000 11.233
Sn 0.000 2.808 6.370
Sn 0.000 2.808 13.081
Sn 2.432 1.404 1.507
Sn 2.432 1.404 8.219
```

## Properties
Spin magnetization   0.006 Bohr magnetons per cell

***

Of them, entry three has the lowest stability.

***

Entry one
Computed, not measured: a geometry-optimized SrPaGa2 structure at the PBE-GGA level of DFT.

```
12
Lattice="4.869 0.000 0.000 -2.435 4.217 0.000 0.000 0.000 16.443" Properties=species:S:1:pos:R:3 pbc="T T T"
Sr 0.000 0.000 0.000
Sr 0.000 2.811 10.962
Sr 2.435 1.406 5.481
Pa 0.000 0.000 8.221
Pa 0.000 2.811 2.740
Pa 2.435 1.406 13.702
Ga 0.000 0.000 3.674
Ga 0.000 0.000 12.769
Ga 0.000 2.811 7.288
Ga 0.000 2.811 14.636
Ga 2.435 1.406 1.807
Ga 2.435 1.406 9.155
```

## Properties
Spin magnetization   3.342 Bohr magnetons per cell

***

Entry two
Computed, not measured: a geometry-optimized SrPaGa2 structure at the PBE-GGA level of DFT.

```
4
Lattice="3.383 0.000 0.000 0.000 3.383 0.000 0.000 0.000 8.581" Properties=species:S:1:pos:R:3 pbc="T T T"
Sr 0.000 0.000 0.000
Pa 0.000 0.000 4.290
Ga 1.692 1.692 2.314
Ga 1.692 1.692 6.267
```

## Properties
Spin magnetization   0.002 Bohr magnetons per cell

***

Of them, entry one has the lowest stability.

***

Entry one
Computed, not measured: a geometry-optimized Pa2TaGa structure at the PBE-GGA level of DFT.

```
4
Lattice="4.287 0.000 0.000 0.000 4.287 0.000 0.000 0.000 4.602" Properties=species:S:1:pos:R:3 pbc="T T T"
Pa 0.000 2.143 0.000
Pa 2.143 0.000 0.000
Ta 0.000 0.000 2.301
Ga 2.143 2.143 2.301
```

## Properties
Spin magnetization   0.000 Bohr magnetons per cell

***

Entry two
Computed, not measured: a geometry-optimized Pa2TaGa structure at the PBE-GGA level of DFT.

```
16
Lattice="7.102 0.000 0.000 0.000 7.102 0.000 0.000 0.000 7.102" Properties=species:S:1:pos:R:3 pbc="T T T"
Pa 1.776 1.776 1.776
Pa 1.776 1.776 5.327
Pa 1.776 5.327 1.776
Pa 1.776 5.327 5.327
Pa 5.327 1.776 1.776
Pa 5.327 1.776 5.327
Pa 5.327 5.327 1.776
Pa 5.327 5.327 5.327
Ta 0.000 0.000 0.000
Ta 0.000 3.551 3.551
Ta 3.551 0.000 3.551
Ta 3.551 3.551 0.000
Ga 0.000 0.000 3.551
Ga 0.000 3.551 0.000
Ga 3.551 0.000 0.000
Ga 3.551 3.551 3.551
```

## Properties
Spin magnetization   0.001 Bohr magnetons per cell

***

Entry three
Computed, not measured: a geometry-optimized Pa2TaGa structure at the PBE-GGA level of DFT.

```
12
Lattice="3.045 0.000 0.000 -1.523 2.637 0.000 0.000 0.000 34.574" Properties=species:S:1:pos:R:3 pbc="T T T"
Pa 0.000 0.000 3.080
Pa 0.000 0.000 31.494
Pa 0.000 1.758 19.969
Pa 0.000 1.758 26.129
Pa 1.523 0.879 8.445
Pa 1.523 0.879 14.605
Ta 0.000 0.000 17.287
Ta 0.000 1.758 5.762
Ta 1.523 0.879 28.812
Ga 0.000 0.000 0.000
Ga 0.000 1.758 23.049
Ga 1.523 0.879 11.525
```

## Properties
Spin magnetization   0.002 Bohr magnetons per cell

***

Entry four
Computed, not measured: a geometry-optimized Pa2TaGa structure at the PBE-GGA level of DFT.

```
4
Lattice="3.764 0.000 0.000 0.000 3.764 0.000 0.000 0.000 6.281" Properties=species:S:1:pos:R:3 pbc="T T T"
Pa 0.000 0.000 1.451
Pa 0.000 0.000 4.830
Ta 1.882 1.882 3.140
Ga 1.882 1.882 0.000
```

## Properties
Spin magnetization   0.000 Bohr magnetons per cell

***

Of them, entry three has the lowest stability.

***

Entry one
Computed, not measured: a geometry-optimized PaTaGa2 structure at the PBE-GGA level of DFT.

```
4
Lattice="3.539 0.000 0.000 0.000 3.539 0.000 0.000 0.000 6.172" Properties=species:S:1:pos:R:3 pbc="T T T"
Pa 0.000 0.000 0.000
Ta 0.000 0.000 3.086
Ga 1.769 1.769 1.799
Ga 1.769 1.769 4.372
```

## Properties
Spin magnetization   0.000 Bohr magnetons per cell

***

Entry two
Computed, not measured: a geometry-optimized PaTaGa2 structure at the PBE-GGA level of DFT.

```
16
Lattice="7.781 0.000 0.000 0.000 3.963 0.000 0.000 0.000 10.458" Properties=species:S:1:pos:R:3 pbc="T T T"
Pa 1.254 0.991 1.678
Pa 2.636 2.972 6.907
Pa 5.145 0.991 3.551
Pa 6.527 2.972 8.780
Ta 0.187 2.972 4.215
Ta 3.704 0.991 9.444
Ta 4.077 2.972 1.014
Ta 7.594 0.991 6.243
Ga 1.055 0.991 8.611
Ga 1.801 2.972 9.991
Ga 2.089 0.991 4.762
Ga 2.836 2.972 3.383
Ga 4.945 0.991 7.075
Ga 5.692 2.972 5.696
Ga 5.980 0.991 0.467
Ga 6.726 2.972 1.846
```

## Properties
Spin magnetization   0.000 Bohr magnetons per cell

***

Entry three
Computed, not measured: a geometry-optimized PaTaGa2 structure at the PBE-GGA level of DFT.

```
8
Lattice="4.732 0.000 0.000 0.000 6.429 0.000 -1.647 0.000 5.167" Properties=species:S:1:pos:R:3 pbc="T T T"
Pa -0.043 1.607 0.741
Pa 3.128 4.822 4.427
Ta -0.140 4.822 2.044
Ta 3.226 1.607 3.123
Ga 0.797 0.320 3.837
Ga 0.797 2.895 3.837
Ga 2.289 3.534 1.330
Ga 2.289 6.110 1.330
```

## Properties
Spin magnetization   0.000 Bohr magnetons per cell

***

Of them, entry one has the lowest stability.